Density functional theory data (SCAN) for a PBEsol-optimized structure of Sc3Co.

Structure (POSCAR):
```
Sc3Co
1.0
-2.087 2.146 0.878
-1.998 -2.264 0.783
2.981 -0.098 7.330
Sc Co
3 1
Cartesian
1.491 -0.049 3.665
-1.482 -0.077 2.209
0.378 -0.138 6.781
0.000 0.000 0.000
```

Values from the calculation:
Density of states at the Fermi level   2.931 states/eV/f.u.
Crystal system   tetragonal
Energy of formation from the pure elements   -18.66 kJ/mol of atoms
Space group   P4/mmm (123)
E   -60.8 eV per cell